(1)
The following is a DFT calculation (PBE-GGA) of an optimized crystal structure of NbGa2Co.

Calculated values
Symmetry   I-42d

abc: 5.5365 5.5365 5.5365
angles: 103.09 103.09 123.18
Sites, in units of the cell vectors:
Nb  0.0000  0.0000  0.0000
Nb  0.7500  0.2500  0.5000
Ga  0.1630  0.6250  0.0380
Ga  0.3750  0.4130  0.5380
Ga  0.5870  0.1250  0.9620
Ga  0.8750  0.8370  0.4620
Co  0.2500  0.7500  0.5000
Co  0.5000  0.5000  0.0000

(2)
The following is a DFT calculation (PBE-GGA) of an optimized crystal structure of NbGaCo.

Calculated values
Symmetry   Imm2

abc: 6.9643 6.9643 6.9643
angles: 148.11 61.74 128.64
Sites, in units of the cell vectors:
Nb  0.0000  0.0000  0.0000
Nb  0.4157  0.0812  0.3344
Nb  0.7468  0.0812  0.6656
Ga  0.2105  0.5421  0.6684
Ga  0.5590  0.5590  0.0000
Ga  0.8737  0.5421  0.3316
Co  0.1452  0.3021  0.8430
Co  0.2912  0.7912  0.5000
Co  0.4591  0.3021  0.1570

(3)
The following is a DFT calculation (PBE-GGA) of an optimized crystal structure of NbGa2Co2.

Calculated values
Symmetry   P4/mbm

abc: 7.0791 7.0791 2.6897
angles: 90.00 90.00 90.00
Sites, in units of the cell vectors:
Nb  0.0000  0.0000  0.0000
Nb  0.5000  0.5000  0.0000
Ga  0.1288  0.3712  0.0000
Ga  0.3712  0.8712  0.0000
Ga  0.6288  0.1288  0.0000
Ga  0.8712  0.6288  0.0000
Co  0.1697  0.6697  0.5000
Co  0.3303  0.1697  0.5000
Co  0.6697  0.8303  0.5000
Co  0.8303  0.3303  0.5000

(4)
The following is a DFT calculation (PBE-GGA) of an optimized crystal structure of Nb2GaCo.

Calculated values
Symmetry   Cmcm

abc: 5.1347 5.1347 4.8254
angles: 90.00 90.00 77.46
Sites, in units of the cell vectors:
Nb  0.0412  0.3522  0.2500
Nb  0.3522  0.0412  0.7500
Nb  0.6478  0.9588  0.2500
Nb  0.9588  0.6478  0.7500
Ga  0.1786  0.8214  0.2500
Ga  0.8214  0.1786  0.7500
Co  0.5000  0.5000  0.0000
Co  0.5000  0.5000  0.5000

(5)
The following is a DFT calculation (PBE-GGA) of an optimized crystal structure of NbGa2Co.

Calculated values
Symmetry   Fm-3m

abc: 4.3688 4.3688 4.3688
angles: 60.00 60.00 60.00
Sites, in units of the cell vectors:
Nb  0.0000  0.0000  0.0000
Ga  0.2500  0.2500  0.2500
Ga  0.7500  0.7500  0.7500
Co  0.5000  0.5000  0.5000

(6)
The following is a DFT calculation (PBE-GGA) of an optimized crystal structure of NbGaCo.

Calculated values
Symmetry   R3m

abc: 6.5450 6.5450 6.5450
angles: 36.88 36.88 36.88
Sites, in units of the cell vectors:
Nb  0.0000  0.0000  0.0000
Nb  0.1638  0.1638  0.1638
Ga  0.5813  0.5813  0.5813
Ga  0.7487  0.7487  0.7487
Co  0.2969  0.2969  0.2969
Co  0.4428  0.4428  0.4428

(7)
The following is a DFT calculation (PBE-GGA) of an optimized crystal structure of NbGaCo4.

Calculated values
Symmetry   F-43m

abc: 4.7021 4.7021 4.7021
angles: 60.00 60.00 60.00
Sites, in units of the cell vectors:
Nb  0.0000  0.0000  0.0000
Ga  0.2500  0.2500  0.2500
Co  0.1277  0.6241  0.6241
Co  0.6241  0.1277  0.6241
Co  0.6241  0.6241  0.1277
Co  0.6241  0.6241  0.6241

(8)
The following is a DFT calculation (PBE-GGA) of an optimized crystal structure of Nb4GaCo.

Calculated values
Symmetry   P4/mcc

abc: 6.2637 6.2637 5.0843
angles: 90.00 90.00 90.00
Sites, in units of the cell vectors:
Nb  0.1447  0.3316  0.0000
Nb  0.1447  0.6684  0.5000
Nb  0.3316  0.1447  0.5000
Nb  0.3316  0.8553  0.0000
Nb  0.6684  0.1447  0.0000
Nb  0.6684  0.8553  0.5000
Nb  0.8553  0.3316  0.5000
Nb  0.8553  0.6684  0.0000
Ga  0.5000  0.5000  0.2500
Ga  0.5000  0.5000  0.7500
Co  0.0000  0.0000  0.2500
Co  0.0000  0.0000  0.7500

(9)
The following is a DFT calculation (PBE-GGA) of an optimized crystal structure of Nb2GaCo.

Calculated values
Symmetry   R-3m

abc: 6.5694 6.5694 6.5694
angles: 31.61 31.61 31.61
Sites, in units of the cell vectors:
Nb  0.2353  0.2353  0.2353
Nb  0.7647  0.7647  0.7647
Ga  0.0000  0.0000  0.0000
Co  0.5000  0.5000  0.5000

(10)
The following is a DFT calculation (PBE-GGA) of an optimized crystal structure of NbGaCo2.

Calculated values
Symmetry   Pmmm

abc: 2.7835 3.3861 5.6146
angles: 90.00 90.00 90.00
Sites, in units of the cell vectors:
Nb  0.0000  0.0000  0.0000
Ga  0.0000  0.0000  0.5000
Co  0.5000  0.5000  0.2628
Co  0.5000  0.5000  0.7372

(11)
The following is a DFT calculation (PBE-GGA) of an optimized crystal structure of NbGa5Co6.

Calculated values
Symmetry   Cmmm

abc: 6.5476 6.5476 5.7992
angles: 90.00 90.00 143.08
Sites, in units of the cell vectors:
Nb  0.0000  0.0000  0.0000
Ga  0.0000  0.0000  0.5000
Ga  0.3340  0.6660  0.5000
Ga  0.3347  0.6653  0.0000
Ga  0.6653  0.3347  0.0000
Ga  0.6660  0.3340  0.5000
Co  0.1688  0.8312  0.2528
Co  0.1688  0.8312  0.7472
Co  0.5000  0.5000  0.2578
Co  0.5000  0.5000  0.7422
Co  0.8312  0.1688  0.2528
Co  0.8312  0.1688  0.7472

(12)
The following is a DFT calculation (PBE-GGA) of an optimized crystal structure of NbGaCo.

Calculated values
Symmetry   I4mm

abc: 6.9273 6.9273 6.9273
angles: 157.45 157.45 32.10
Sites, in units of the cell vectors:
Nb  0.0000  0.0000  0.0000
Ga  0.2065  0.2065  0.0000
Co  0.8262  0.8262  0.0000

(13)
The following is a DFT calculation (PBE-GGA) of an optimized crystal structure of Nb2GaCo.

Calculated values
Symmetry   P4/mmm

abc: 3.9860 3.9860 3.8958
angles: 90.00 90.00 90.00
Sites, in units of the cell vectors:
Nb  0.0000  0.5000  0.0000
Nb  0.5000  0.0000  0.0000
Ga  0.0000  0.0000  0.5000
Co  0.5000  0.5000  0.5000

(14)
The following is a DFT calculation (PBE-GGA) of an optimized crystal structure of NbGa2Co2.

Calculated values
Symmetry   P4/mbm

abc: 6.9831 6.9831 2.7757
angles: 90.00 90.00 90.00
Sites, in units of the cell vectors:
Nb  0.0000  0.0000  0.0000
Nb  0.5000  0.5000  0.0000
Ga  0.1649  0.3351  0.5000
Ga  0.3351  0.8351  0.5000
Ga  0.6649  0.1649  0.5000
Ga  0.8351  0.6649  0.5000
Co  0.1306  0.6306  0.0000
Co  0.3694  0.1306  0.0000
Co  0.6306  0.8694  0.0000
Co  0.8694  0.3694  0.0000

(15)
The following is a DFT calculation (PBE-GGA) of an optimized crystal structure of Nb2Ga3Co.

Calculated values
Symmetry   P6_3/mmc

abc: 5.1303 5.1303 7.8042
angles: 90.00 90.00 120.00
Sites, in units of the cell vectors:
Nb  0.3333  0.6667  0.0690
Nb  0.3333  0.6667  0.4310
Nb  0.6667  0.3333  0.5690
Nb  0.6667  0.3333  0.9310
Ga  0.1680  0.3360  0.7500
Ga  0.1680  0.8320  0.7500
Ga  0.3360  0.1680  0.2500
Ga  0.6640  0.8320  0.7500
Ga  0.8320  0.1680  0.2500
Ga  0.8320  0.6640  0.2500
Co  0.0000  0.0000  0.0000
Co  0.0000  0.0000  0.5000

(16)
The following is a DFT calculation (PBE-GGA) of an optimized crystal structure of NbGaCo4.

Calculated values
Symmetry   P-1

abc: 4.9685 5.9724 6.2839
angles: 62.37 68.09 74.32
Sites, in units of the cell vectors:
Nb  0.0185  0.1024  0.2259
Nb  0.9815  0.8976  0.7741
Ga  0.3481  0.2574  0.3970
Ga  0.6519  0.7426  0.6030
Co  0.0429  0.3571  0.7425
Co  0.2923  0.4831  0.9445
Co  0.3730  0.6935  0.3734
Co  0.3766  0.9131  0.9224
Co  0.6234  0.0869  0.0776
Co  0.6270  0.3065  0.6266
Co  0.7077  0.5169  0.0555
Co  0.9571  0.6429  0.2575

(17)
The following is a DFT calculation (PBE-GGA) of an optimized crystal structure of Nb3GaCo.

Calculated values
Symmetry   Pm-3m

abc: 4.5862 4.5862 4.5862
angles: 90.00 90.00 90.00
Sites, in units of the cell vectors:
Nb  0.0000  0.0000  0.5000
Nb  0.0000  0.5000  0.0000
Nb  0.5000  0.0000  0.0000
Ga  0.5000  0.5000  0.5000
Co  0.0000  0.0000  0.0000

(18)
The following is a DFT calculation (PBE-GGA) of an optimized crystal structure of NbGa2Co.

Calculated values
Symmetry   P4/mmm

abc: 2.9118 2.9118 6.7434
angles: 90.00 90.00 90.00
Sites, in units of the cell vectors:
Nb  0.0000  0.0000  0.0000
Ga  0.5000  0.5000  0.2909
Ga  0.5000  0.5000  0.7091
Co  0.0000  0.0000  0.5000

(19)
The following is a DFT calculation (PBE-GGA) of an optimized crystal structure of Nb2Ga3Co.

Calculated values
Symmetry   Immm

abc: 5.4562 5.4562 5.4562
angles: 130.74 122.64 78.93
Sites, in units of the cell vectors:
Nb  0.1706  0.1706  0.0000
Nb  0.8294  0.8294  0.0000
Ga  0.0000  0.5000  0.5000
Ga  0.3446  0.8446  0.5000
Ga  0.6554  0.1554  0.5000
Co  0.5000  0.5000  0.0000

(20)
The following is a DFT calculation (PBE-GGA) of an optimized crystal structure of NbGaCo.

Calculated values
Symmetry   F-43m

abc: 4.0715 4.0715 4.0715
angles: 60.00 60.00 60.00
Sites, in units of the cell vectors:
Nb  0.0000  0.0000  0.0000
Ga  0.5000  0.5000  0.5000
Co  0.2500  0.2500  0.2500

Number 1: formation energy 0.03 eV per atom, DOS(E_F) 0.630 states/eV per atom, total magnetization 0.00 μB/cell. Number 2: formation energy -0.20 eV per atom, DOS(E_F) 0.614 states/eV per atom, total magnetization 0.00 μB/cell. Number 3: formation energy -0.19 eV per atom, DOS(E_F) 0.872 states/eV per atom, total magnetization 0.00 μB/cell. Number 4: formation energy -0.19 eV per atom, DOS(E_F) 1.092 states/eV per atom, total magnetization 1.72 μB/cell. Number 5: formation energy -0.02 eV per atom, DOS(E_F) 0.471 states/eV per atom, total magnetization 2.16 μB/cell. Number 6: formation energy -0.30 eV per atom, DOS(E_F) 0.440 states/eV per atom, total magnetization 0.00 μB/cell. Number 7: formation energy -0.15 eV per atom, DOS(E_F) 1.153 states/eV per atom, total magnetization 0.01 μB/cell. Number 8: formation energy -0.21 eV per atom, DOS(E_F) 1.099 states/eV per atom, total magnetization 0.00 μB/cell. Number 9: formation energy 0.18 eV per atom, DOS(E_F) 0.450 states/eV per atom, total magnetization 0.00 μB/cell. Number 10: formation energy -0.21 eV per atom, DOS(E_F) 0.854 states/eV per atom, total magnetization 0.00 μB/cell. Number 11: formation energy -0.29 eV per atom, DOS(E_F) 0.561 states/eV per atom, total magnetization 2.70 μB/cell. Number 12: formation energy 0.43 eV per atom, DOS(E_F) 0.947 states/eV per atom, total magnetization 0.00 μB/cell. Number 13: formation energy -0.17 eV per atom, DOS(E_F) 0.984 states/eV per atom, total magnetization 1.02 μB/cell. Number 14: formation energy -0.16 eV per atom, DOS(E_F) 1.182 states/eV per atom, total magnetization 0.00 μB/cell. Number 15: formation energy -0.36 eV per atom, DOS(E_F) 0.655 states/eV per atom, total magnetization 0.00 μB/cell. Number 16: formation energy -0.02 eV per atom, DOS(E_F) 1.250 states/eV per atom, total magnetization 7.52 μB/cell. Number 17: formation energy 0.56 eV per atom, DOS(E_F) 1.531 states/eV per atom, total magnetization 0.00 μB/cell. Number 18: formation energy -0.27 eV per atom, DOS(E_F) 0.335 states/eV per atom, total magnetization 0.23 μB/cell. Number 19: formation energy 0.11 eV per atom, DOS(E_F) 0.780 states/eV per atom, total magnetization 2.16 μB/cell. Number 20: formation energy -0.21 eV per atom, DOS(E_F) 1.892 states/eV per atom, total magnetization 0.00 μB/cell.